This record from the Alexandria database describes a relaxed MnNi2Cl crystal. The functional is PBE. Values from VASP.

The structure in Quantum ESPRESSO input format:
```
&SYSTEM
  ibrav = 0, nat = 4, ntyp = 3
/
ATOMIC_SPECIES
Cl 35.45 Cl.upf
Ni 58.69 Ni.upf
Mn 54.94 Mn.upf
CELL_PARAMETERS angstrom
0.0000 3.0032 3.0032
3.0032 0.0000 3.0032
3.0032 3.0032 0.0000
ATOMIC_POSITIONS crystal
Cl 0.0000 0.0000 0.0000
Ni 0.7500 0.7500 0.7500
Ni 0.2500 0.2500 0.2500
Mn 0.5000 0.5000 0.5000
```

The calculation puts the density of states at the Fermi level at 2.04 states/eV/f.u. Its distance to the lowest polymorph of the same formula is 460 meV per atom. As for the total energy: -5.110 eV per atom. Its total magnetic moment is 4.93 Bohr magnetons per cell. The raw formation energy is 2.14 eV/f.u.